# 1
The following is a PBE-GGA calculation of a relaxed structure of MoIr2Se, from the Alexandria database.

The space group is C2/m (No. 12) and the conventional cell measures 5.3748, 9.3528 and 2.8771 Å, with angles of 90.00, 120.04 and 90.00 degrees. The distinct sites, in fractional coordinates, are Mo at (0.0000, 0.0000, 0.0000), Ir at (0.2500, 0.2500, 0.5000) and Se at (0.0000, 0.5000, 0.0000).

For the density, the calculation gives 14.8 Mg/m³. For the energy relative to the elements, uncorrected, the calculation gives 0.40 eV per atom.

---

# 2
The following is a PBE-GGA calculation of a relaxed structure of DyZrAlTc, from the Alexandria database.

The space group is F-43m (No. 216) and the conventional cell measures 6.8507, 6.8507 and 6.8507 Å, with angles of 90.00, 90.00 and 90.00 degrees. The distinct sites, in fractional coordinates, are Dy at (0.0000, 0.0000, 0.0000), Zr at (0.0000, 0.0000, 0.5000), Al at (0.2500, 0.2500, 0.2500) and Tc at (0.2500, 0.2500, 0.7500).

The formation energy is -0.242 eV/atom. For the density, the calculation gives 7.8 Mg/m³.

---

We obtain electronic total energy values of -7.605; -7.056 eV/atom for the records listed above, in that order.